[1]
Below is a PBEsol-optimized structure of ReAgPb2, with properties calculated at the SCAN level.

a b c (Å): 3.022 3.022 9.614
angles (deg): 90.00 90.00 90.00
Last column: magnetic moment on the atom in μB.
Sites, in units of the cell vectors:
Re (0.000, 0.000, 0.528)  0.54
Pb (0.500, 0.500, 0.308)  -0.02
Pb (0.000, 0.000, 0.949)  -0.01
Ag (0.500, 0.500, 0.716)  0.01

- E_form (eV/f.u.) = 2.9
- total magnetic moment (Bohr magnetons per cell) = 0.60
- calculated total energy (eV per atom) = -62.776

***

[2]
Below is a PBEsol-optimized structure of ReAgPb2, with properties calculated at the SCAN level.

a b c (Å): 3.213 4.851 5.713
angles (deg): 100.08 90.00 109.34
Sites, in units of the cell vectors:
Pb (0.741, 0.482, 0.734)
Pb (0.259, 0.518, 0.266)
Ag (0.500, 0.000, 0.000)
Re (0.000, 0.000, 0.500)

- E_form (eV/f.u.) = 3.8
- total magnetic moment (Bohr magnetons per cell) = 0.01
- calculated total energy (eV per atom) = -62.569

***

[3]
Below is a PBEsol-optimized structure of Re2AgPb, with properties calculated at the SCAN level.

a b c (Å): 3.015 3.015 8.059
angles (deg): 90.00 90.00 90.00
Sites, in units of the cell vectors:
Ag (0.000, 0.000, 0.470)
Re (0.500, 0.500, 0.220)
Re (0.000, 0.000, 0.047)
Pb (0.500, 0.500, 0.763)

- E_form (eV/f.u.) = 2.0
- total magnetic moment (Bohr magnetons per cell) = 0.00
- calculated total energy (eV per atom) = -61.839

***

[4]
Below is a PBEsol-optimized structure of Re2AgPb, with properties calculated at the SCAN level.

a b c (Å): 2.995 4.750 5.875
angles (deg): 113.84 104.77 90.00
Sites, in units of the cell vectors:
Pb (0.723, 0.223, 0.446)
Re (0.288, 0.788, 0.577)
Re (0.973, 0.973, 0.947)
Ag (0.515, 0.515, 0.030)

- E_form (eV/f.u.) = 3.9
- total magnetic moment (Bohr magnetons per cell) = 0.00
- calculated total energy (eV per atom) = -61.361

***

[5]
Below is a PBEsol-optimized structure of ReAgPb2, with properties calculated at the SCAN level.

a b c (Å): 3.514 3.514 6.542
angles (deg): 90.00 90.00 90.00
Sites, in units of the cell vectors:
Pb (0.000, 0.000, 0.738)
Pb (0.000, 0.000, 0.262)
Re (0.500, 0.500, 0.500)
Ag (0.500, 0.500, 0.000)

- E_form (eV/f.u.) = 3.4
- total magnetic moment (Bohr magnetons per cell) = 0.00
- calculated total energy (eV per atom) = -62.653

***

[6]
Below is a PBEsol-optimized structure of Re2AgPb, with properties calculated at the SCAN level.

a b c (Å): 2.841 2.841 9.962
angles (deg): 90.00 90.00 115.48
Sites, in units of the cell vectors:
Pb (0.500, 0.500, 0.240)
Re (0.000, 0.000, 0.970)
Re (0.500, 0.500, 0.766)
Ag (0.000, 0.000, 0.525)

- E_form (eV/f.u.) = 3.0
- total magnetic moment (Bohr magnetons per cell) = 0.00
- calculated total energy (eV per atom) = -61.593

***

[7]
Below is a PBEsol-optimized structure of Re2AgPb, with properties calculated at the SCAN level.

a b c (Å): 4.226 4.802 4.226
angles (deg): 116.10 90.00 116.10
Sites, in units of the cell vectors:
Pb (0.250, 0.500, 0.750)
Re (0.750, 0.500, 0.250)
Re (0.000, 0.000, 0.000)
Ag (0.500, 0.000, 0.500)

- E_form (eV/f.u.) = 4.3
- total magnetic moment (Bohr magnetons per cell) = 0.00
- calculated total energy (eV per atom) = -61.256

***

[8]
Below is a PBEsol-optimized structure of ReAgPb2, with properties calculated at the SCAN level.

a b c (Å): 3.234 3.234 9.352
angles (deg): 80.04 80.04 60.00
Sites, in units of the cell vectors:
Ag (0.000, 0.000, 0.000)
Pb (0.756, 0.756, 0.733)
Pb (0.244, 0.244, 0.267)
Re (0.500, 0.500, 0.500)

- E_form (eV/f.u.) = 3.0
- total magnetic moment (Bohr magnetons per cell) = 0.00
- calculated total energy (eV per atom) = -62.744

***

[9]
Below is a PBEsol-optimized structure of ReAgPb2, with properties calculated at the SCAN level.

a b c (Å): 3.036 4.548 7.027
angles (deg): 108.87 102.47 90.00
Sites, in units of the cell vectors:
Pb (0.011, 0.011, 0.023)
Pb (0.801, 0.301, 0.602)
Ag (0.186, 0.686, 0.371)
Re (0.502, 0.502, 0.004)

- E_form (eV/f.u.) = 2.8
- total magnetic moment (Bohr magnetons per cell) = 0.00
- calculated total energy (eV per atom) = -62.795

***

[10]
Below is a PBEsol-optimized structure of AgRhPb2, with properties calculated at the SCAN level.

a b c (Å): 3.152 4.427 6.754
angles (deg): 109.13 103.49 90.00
Sites, in units of the cell vectors:
Ag (0.812, 0.312, 0.623)
Rh (0.505, 0.505, 0.010)
Pb (0.982, 0.982, 0.963)
Pb (0.202, 0.702, 0.403)

- E_form (eV/f.u.) = 0.4
- total magnetic moment (Bohr magnetons per cell) = 0.00
- calculated total energy (eV per atom) = -54.068

***

[11]
Below is a PBEsol-optimized structure of AgRhPb2, with properties calculated at the SCAN level.

a b c (Å): 4.898 4.898 4.898
angles (deg): 60.00 60.00 60.00
Sites, in units of the cell vectors:
Rh (0.750, 0.750, 0.750)
Ag (0.500, 0.500, 0.500)
Pb (0.000, 0.000, 0.000)
Pb (0.250, 0.250, 0.250)

- E_form (eV/f.u.) = 1.6
- total magnetic moment (Bohr magnetons per cell) = 0.00
- calculated total energy (eV per atom) = -53.773

***

[12]
Below is a PBEsol-optimized structure of AgRhPb, with properties calculated at the SCAN level.

a b c (Å): 4.441 4.441 4.441
angles (deg): 60.00 60.00 60.00
Sites, in units of the cell vectors:
Ag (0.500, 0.500, 0.500)
Pb (0.250, 0.250, 0.250)
Rh (0.000, 0.000, 0.000)

- E_form (eV/f.u.) = 1.1
- total magnetic moment (Bohr magnetons per cell) = 0.00
- calculated total energy (eV per atom) = -46.602

***

[13]
Below is a PBEsol-optimized structure of AgRhPb, with properties calculated at the SCAN level.

a b c (Å): 4.427 4.427 4.427
angles (deg): 60.00 60.00 60.00
Sites, in units of the cell vectors:
Rh (0.250, 0.250, 0.250)
Pb (0.500, 0.500, 0.500)
Ag (0.000, 0.000, 0.000)

- E_form (eV/f.u.) = 0.4
- total magnetic moment (Bohr magnetons per cell) = 0.00
- calculated total energy (eV per atom) = -46.831

***

[14]
Below is a PBEsol-optimized structure of AgRhPb, with properties calculated at the SCAN level.

a b c (Å): 3.486 3.486 5.086
angles (deg): 110.04 110.04 90.00
Sites, in units of the cell vectors:
Rh (0.334, 0.334, 0.667)
Pb (0.672, 0.672, 0.344)
Ag (0.994, 0.994, 0.989)

- E_form (eV/f.u.) = 0.6
- total magnetic moment (Bohr magnetons per cell) = 0.00
- calculated total energy (eV per atom) = -46.762

***

[15]
Below is a PBEsol-optimized structure of AgRuPb2, with properties calculated at the SCAN level.

a b c (Å): 3.423 4.112 5.745
angles (deg): 90.00 90.00 90.00
Sites, in units of the cell vectors:
Ru (0.000, 0.000, 0.472)
Pb (0.500, 0.500, 0.300)
Pb (0.000, 0.000, 0.959)
Ag (0.500, 0.500, 0.769)

- E_form (eV/f.u.) = 1.8
- total magnetic moment (Bohr magnetons per cell) = 0.00
- calculated total energy (eV per atom) = -53.991

***

[16]
Below is a PBEsol-optimized structure of AgRuPb2, with properties calculated at the SCAN level.

a b c (Å): 3.383 4.527 5.551
angles (deg): 90.00 107.75 90.00
Sites, in units of the cell vectors:
Ag (0.673, 0.500, 0.347)
Pb (0.401, 0.500, 0.802)
Pb (0.106, 0.000, 0.212)
Ru (0.833, 0.000, 0.666)

- E_form (eV/f.u.) = 1.5
- total magnetic moment (Bohr magnetons per cell) = 0.00
- calculated total energy (eV per atom) = -54.065

***

[17]
Below is a PBEsol-optimized structure of AgRuPb2, with properties calculated at the SCAN level.

a b c (Å): 3.470 4.388 5.415
angles (deg): 90.00 90.00 90.00
Sites, in units of the cell vectors:
Ru (0.500, 0.500, 0.000)
Pb (0.000, 0.000, 0.000)
Pb (0.500, 0.000, 0.500)
Ag (0.000, 0.500, 0.500)

- E_form (eV/f.u.) = 2.4
- total magnetic moment (Bohr magnetons per cell) = 0.00
- calculated total energy (eV per atom) = -53.842

***

[18]
Below is a PBEsol-optimized structure of AgSb2Pb, with properties calculated at the SCAN level.

a b c (Å): 3.933 5.126 5.943
angles (deg): 115.55 109.32 90.00
Sites, in units of the cell vectors:
Ag (0.483, 0.483, 0.966)
Sb (0.019, 0.019, 0.038)
Sb (0.760, 0.260, 0.520)
Pb (0.238, 0.738, 0.476)

- total magnetic moment (Bohr magnetons per cell) = 0.00
- calculated total energy (eV per atom) = -45.188

***

[19]
Below is a PBEsol-optimized structure of AgSbPb2, with properties calculated at the SCAN level.

a b c (Å): 3.409 3.409 10.393
angles (deg): 80.56 80.56 60.00
Sites, in units of the cell vectors:
Pb (0.989, 0.989, 0.032)
Pb (0.752, 0.752, 0.745)
Sb (0.512, 0.512, 0.465)
Ag (0.247, 0.247, 0.258)

- total magnetic moment (Bohr magnetons per cell) = 0.00
- calculated total energy (eV per atom) = -54.927

***

[20]
Below is a PBEsol-optimized structure of AgSbPb2, with properties calculated at the SCAN level.

a b c (Å): 3.736 3.736 7.403
angles (deg): 90.00 90.00 90.00
Sites, in units of the cell vectors:
Pb (0.000, 0.000, 0.961)
Pb (0.500, 0.500, 0.274)
Sb (0.000, 0.000, 0.537)
Ag (0.500, 0.500, 0.728)

- total magnetic moment (Bohr magnetons per cell) = 0.00
- calculated total energy (eV per atom) = -54.924

***

[21]
Below is a PBEsol-optimized structure of AgSbPb2, with properties calculated at the SCAN level.

a b c (Å): 3.373 5.678 6.061
angles (deg): 111.40 106.16 90.00
Sites, in units of the cell vectors:
Sb (0.532, 0.492, 0.064)
Pb (0.972, 0.948, 0.944)
Pb (0.760, 0.272, 0.521)
Ag (0.236, 0.788, 0.471)

- total magnetic moment (Bohr magnetons per cell) = 0.00
- calculated total energy (eV per atom) = -54.922

***

[22]
Below is a PBEsol-optimized structure of AgSb2Pb, with properties calculated at the SCAN level.

a b c (Å): 3.249 4.020 7.666
angles (deg): 90.00 89.99 90.00
Sites, in units of the cell vectors:
Sb (0.999, 0.000, 0.790)
Sb (0.001, 0.000, 0.210)
Ag (0.500, 0.500, 0.000)
Pb (0.500, 0.500, 0.500)

- total magnetic moment (Bohr magnetons per cell) = 0.00
- calculated total energy (eV per atom) = -45.249

***

[23]
Below is a PBEsol-optimized structure of AgSbPb2, with properties calculated at the SCAN level.

a b c (Å): 3.499 4.627 6.655
angles (deg): 90.00 105.38 90.00
Sites, in units of the cell vectors:
Pb (0.912, 0.000, 0.952)
Pb (0.570, 0.500, 0.262)
Ag (0.323, 0.500, 0.776)
Sb (0.195, 0.000, 0.511)

- total magnetic moment (Bohr magnetons per cell) = 0.00
- calculated total energy (eV per atom) = -54.932

***

[24]
Below is a PBEsol-optimized structure of AgSbPb2, with properties calculated at the SCAN level.

a b c (Å): 3.489 4.070 7.234
angles (deg): 90.00 90.00 90.00
Sites, in units of the cell vectors:
Sb (0.000, 0.000, 0.536)
Pb (0.500, 0.500, 0.270)
Pb (0.000, 0.000, 0.965)
Ag (0.500, 0.500, 0.730)

- total magnetic moment (Bohr magnetons per cell) = 0.00
- calculated total energy (eV per atom) = -54.931

***

[25]
Below is a PBEsol-optimized structure of AgSb2Pb, with properties calculated at the SCAN level.

a b c (Å): 3.759 3.759 7.157
angles (deg): 90.00 90.00 90.00
Sites, in units of the cell vectors:
Pb (0.500, 0.500, 0.710)
Sb (0.000, 0.000, 0.048)
Sb (0.500, 0.500, 0.261)
Ag (0.000, 0.000, 0.482)

- total magnetic moment (Bohr magnetons per cell) = 0.00
- calculated total energy (eV per atom) = -45.236

***

[26]
Below is a PBEsol-optimized structure of AgSbPb2, with properties calculated at the SCAN level.

a b c (Å): 3.342 3.342 9.126
angles (deg): 90.00 90.00 90.00
Sites, in units of the cell vectors:
Pb (0.000, 0.000, 0.034)
Pb (0.500, 0.500, 0.743)
Sb (0.000, 0.000, 0.462)
Ag (0.500, 0.500, 0.261)

- total magnetic moment (Bohr magnetons per cell) = 0.00
- calculated total energy (eV per atom) = -54.931

***

[27]
Below is a PBEsol-optimized structure of AgSb4Pb, with properties calculated at the SCAN level.

a b c (Å): 6.177 6.177 6.177
angles (deg): 60.00 60.00 60.00
Sites, in units of the cell vectors:
Sb (0.375, 0.874, 0.375)
Sb (0.375, 0.375, 0.874)
Sb (0.874, 0.375, 0.375)
Sb (0.375, 0.375, 0.375)
Pb (0.000, 0.000, 0.000)
Ag (0.750, 0.750, 0.750)

- total magnetic moment (Bohr magnetons per cell) = 0.00
- calculated total energy (eV per atom) = -42.312

***

[28]
Below is a PBEsol-optimized structure of Ag2Sb2Pb, with properties calculated at the SCAN level.

a b c (Å): 3.949 3.949 8.282
angles (deg): 103.79 103.79 90.00
Sites, in units of the cell vectors:
Ag (0.750, 0.250, 0.500)
Ag (0.250, 0.750, 0.500)
Pb (0.000, 0.000, 0.000)
Sb (0.616, 0.616, 0.233)
Sb (0.384, 0.384, 0.767)

- total magnetic moment (Bohr magnetons per cell) = 0.00
- calculated total energy (eV per atom) = -42.492

***

[29]
Below is a PBEsol-optimized structure of ScAgPb2, with properties calculated at the SCAN level.

a b c (Å): 4.266 4.266 5.825
angles (deg): 111.48 111.48 90.00
Sites, in units of the cell vectors:
Pb (0.000, 0.000, 0.000)
Pb (0.750, 0.250, 0.500)
Sc (0.500, 0.500, 0.000)
Ag (0.250, 0.750, 0.500)

- E_form (eV/f.u.) = -0.9
- total magnetic moment (Bohr magnetons per cell) = 0.00
- calculated total energy (eV per atom) = -49.524

***

[30]
Below is a PBEsol-optimized structure of ScAgPb2, with properties calculated at the SCAN level.

a b c (Å): 4.166 4.652 4.652
angles (deg): 90.00 90.00 90.00
Sites, in units of the cell vectors:
Sc (0.500, 0.000, 0.000)
Pb (0.000, 0.000, 0.500)
Pb (0.000, 0.500, 0.000)
Ag (0.500, 0.500, 0.500)

- E_form (eV/f.u.) = -1.1
- total magnetic moment (Bohr magnetons per cell) = 0.00
- calculated total energy (eV per atom) = -49.560

***

[31]
Below is a PBEsol-optimized structure of ScAgPb2, with properties calculated at the SCAN level.

a b c (Å): 3.485 4.794 5.929
angles (deg): 90.00 106.93 90.00
Sites, in units of the cell vectors:
Ag (0.456, 0.500, 0.787)
Pb (0.733, 0.500, 0.339)
Pb (0.022, 0.000, 0.920)
Sc (0.289, 0.000, 0.453)

- E_form (eV/f.u.) = -0.8
- total magnetic moment (Bohr magnetons per cell) = 0.00
- calculated total energy (eV per atom) = -49.484